# CsK2CdPb

CsK2CdPb after structural relaxation (GGA-PBE, the Alexandria database).

Cell lengths 6.789, 6.789, 5.843 Å; angles 90.00, 90.00, 90.00 degrees
Positions (direct):
Cs 0.000 0.000 0.000
K 0.000 0.500 0.500
K 0.500 0.000 0.500
Cd 0.500 0.500 0.500
Pb 0.500 0.500 0.000

## Properties
Energy of formation: 0.1 eV per formula unit
Uncorrected energy: -7.6 eV/cell
Mass density: 3.27 g/cm3
Space-group type: P4/mmm (123)
Distance to the lowest polymorph of the same formula: 19 meV/atom

=====

# Cs2KCdPd

Cs2KCdPd after structural relaxation (GGA-PBE, the Alexandria database).

Cell lengths 6.672, 6.672, 6.283 Å; angles 90.00, 90.00, 90.00 degrees
Positions (direct):
Cs 0.000 0.500 0.000
Cs 0.500 0.000 0.000
K 0.000 0.000 0.500
Cd 0.500 0.500 0.500
Pd 0.000 0.000 0.000

## Properties
Energy of formation: 0.6 eV per formula unit
Uncorrected energy: -8.3 eV/cell
Mass density: 3.11 g/cm3
Space-group type: P4/mmm (123)
Distance to the lowest polymorph of the same formula: 111 meV/atom

=====

# CsK2CdPd

CsK2CdPd after structural relaxation (GGA-PBE, the Alexandria database).

Cell lengths 6.349, 6.349, 5.501 Å; angles 90.00, 90.00, 90.00 degrees
Positions (direct):
Cs 0.000 0.000 0.000
K 0.000 0.500 0.500
K 0.500 0.000 0.500
Cd 0.500 0.500 0.000
Pd 0.500 0.500 0.500

## Properties
Energy of formation: 0.0 eV per formula unit
Uncorrected energy: -9.2 eV/cell
Mass density: 3.22 g/cm3
Space-group type: P4/mmm (123)

=====

What did the second record say?
# Cs2KCdPd

Cs2KCdPd after structural relaxation (GGA-PBE, the Alexandria database).

Cell lengths 6.672, 6.672, 6.283 Å; angles 90.00, 90.00, 90.00 degrees
Positions (direct):
Cs 0.000 0.500 0.000
Cs 0.500 0.000 0.000
K 0.000 0.000 0.500
Cd 0.500 0.500 0.500
Pd 0.000 0.000 0.000

## Properties
Energy of formation: 0.6 eV per formula unit
Uncorrected energy: -8.3 eV/cell
Mass density: 3.11 g/cm3
Space-group type: P4/mmm (123)
Distance to the lowest polymorph of the same formula: 111 meV/atom

=====

Which of these has the highest uncorrected energy?
CsK2CdPb